Here is a geometry-optimized GaNi3Ag structure from Alexandria. Energies are from PBE.

Summary:
- DOS at the Fermi energy (states/eV/f.u.) = 5.70
- relative energy among the computed polymorphs (meV/atom) = 627.9

abc: 4.616 4.616 4.616
angles: 90.00 90.00 90.00
Atoms (fractional coordinates):
Ga (0.000, 0.000, 0.000)
Ni (0.000, 0.500, 0.500)
Ni (0.500, 0.000, 0.500)
Ni (0.500, 0.500, 0.000)
Ag (0.500, 0.500, 0.500)